Entry 1:
{
  "formula": "Dy2Sc2I5N",
  "functional": "GGA-PBE",
  "state": "relaxed",
  "total_magnetization_mub_per_fu": 0.003,
  "final_energy_ev_per_atom": -5.04,
  "crystal_system": "monoclinic",
  "rho_g_cm3": 5.56,
  "lattice": [[-4.3833, 2.8378, -8.8164], [-2.2891, -0.1386, -9.9868], [-5.7684, -5.2924, 3.1372]],
  "species": ["Dy", "Dy", "I", "I", "I", "I", "I", "N", "Sc", "Sc"],
  "frac_coords": [[0.0000, 0.0000, 0.1893], [0.0000, 0.0000, 0.8107], [0.8453, 0.8453, 0.1660], [0.1544, 0.1544, 0.3172], [0.5000, 0.5000, 0.5000], [0.8456, 0.8456, 0.6828], [0.1547, 0.1547, 0.8340], [0.5000, 0.5000, 0.0000], [0.6100, 0.6100, 0.0539], [0.3900, 0.3900, 0.9461]]
}

***

Entry 2:
{
  "formula": "Sn3Au4I",
  "functional": "GGA-PBE",
  "state": "relaxed",
  "final_energy_ev_per_atom": -3.25,
  "crystal_system": "monoclinic",
  "rho_g_cm3": 11.21,
  "lattice": [[7.3260, -4.2560, 0.0000], [7.3260, 4.2560, 0.0000], [-0.6331, 0.0000, 3.0190]],
  "species": ["Au", "Au", "Au", "Au", "I", "Sn", "Sn", "Sn"],
  "frac_coords": [[0.5992, 0.1457, 0.3751], [0.1457, 0.5992, 0.3751], [0.8543, 0.4008, 0.6249], [0.4008, 0.8543, 0.6249], [0.0000, 0.0000, 0.5000], [0.5000, 0.5000, 0.0000], [0.2345, 0.2345, 0.2336], [0.7655, 0.7655, 0.7664]]
}

***

Entry 3:
{
  "formula": "RbThFe",
  "functional": "GGA-PBE",
  "state": "relaxed",
  "total_magnetization_mub_per_fu": 0.816,
  "final_energy_ev_per_atom": -4.28,
  "crystal_system": "cubic",
  "rho_g_cm3": 7.18,
  "lattice": [[4.5542, -1.4316, 1.3520], [0.5754, -3.3865, 3.5802], [1.6060, -4.5565, -1.1301]],
  "species": ["Fe", "Rb", "Th"],
  "frac_coords": [[0.0000, 0.0000, 0.0000], [0.7500, 0.7500, 0.7500], [0.2500, 0.2500, 0.2500]]
}

***

Entry 4:
{
  "formula": "NbRe2B2",
  "functional": "GGA-PBE",
  "state": "relaxed",
  "total_magnetization_mub_per_fu": 0.002,
  "polymorph_energy_mev_per_atom": 147.8,
  "crystal_system": "tetragonal",
  "rho_g_cm3": 13.12,
  "lattice": [[-1.8297, 1.8297, 4.6019], [1.8297, -1.8297, 4.6019], [1.8297, 1.8297, -4.6019]],
  "species": ["B", "B", "Nb", "Re", "Re"],
  "frac_coords": [[0.4038, 0.4038, 0.0000], [0.5962, 0.5962, 0.0000], [0.0000, 0.0000, 0.0000], [0.7500, 0.2500, 0.5000], [0.2500, 0.7500, 0.5000]]
}

***

Entry 5:
{
  "formula": "BaDyNb",
  "functional": "GGA-PBE",
  "state": "relaxed",
  "total_magnetization_mub_per_fu": 2.999,
  "polymorph_energy_mev_per_atom": 0.0,
  "crystal_system": "cubic",
  "rho_g_cm3": 5.93,
  "lattice": [[5.2722, -1.0410, 0.1994], [2.9854, 1.9962, 4.0028], [1.9522, -3.2770, 3.7908]],
  "species": ["Ba", "Dy", "Nb"],
  "frac_coords": [[0.2500, 0.2500, 0.2500], [0.7500, 0.7500, 0.7500], [0.0000, 0.0000, 0.0000]]
}

***

Entry 6:
{
  "formula": "BeZnB4",
  "functional": "GGA-PBE",
  "state": "relaxed",
  "polymorph_energy_mev_per_atom": 69.2,
  "crystal_system": "orthorhombic",
  "rho_g_cm3": 3.97,
  "lattice": [[-1.1316, -2.5141, 3.3894], [1.2547, 2.9472, 2.9713], [-3.0292, -0.5488, -3.1003]],
  "species": ["B", "B", "B", "B", "Be", "Zn"],
  "frac_coords": [[0.5915, 0.2587, 0.3327], [0.0740, 0.7413, 0.3327], [0.9260, 0.2587, 0.6673], [0.4085, 0.7413, 0.6673], [0.0000, 0.0000, 0.0000], [0.5000, 0.5000, 0.0000]]
}

***

Entry 7:
{
  "formula": "Pr2FeSi4Os",
  "functional": "GGA-PBE",
  "state": "relaxed",
  "total_magnetization_mub_per_fu": 0.011,
  "final_energy_ev_per_atom": -7.04,
  "crystal_system": "monoclinic",
  "rho_g_cm3": 7.28,
  "lattice": [[-1.5865, 3.1713, 2.6778], [-2.8970, -2.5765, 1.3350], [5.5520, -3.7863, 4.7402]],
  "species": ["Fe", "Os", "Pr", "Pr", "Si", "Si", "Si", "Si"],
  "frac_coords": [[0.6171, 0.0000, 0.3911], [0.3792, 0.5000, 0.6122], [0.1010, 0.5000, 0.2022], [0.9103, 0.0000, 0.7970], [0.5485, 0.0000, 0.1021], [0.1611, 0.0000, 0.4875], [0.8193, 0.5000, 0.4969], [0.4635, 0.5000, 0.9109]]
}

***

Entry 8:
{
  "formula": "PmSmNO",
  "functional": "GGA-PBE",
  "state": "relaxed",
  "total_magnetization_mub_per_fu": 0.771,
  "polymorph_energy_mev_per_atom": 460.9,
  "crystal_system": "tetragonal",
  "rho_g_cm3": 7.04,
  "lattice": [[4.2900, 0.0000, 0.0000], [0.0000, 4.2900, 0.0000], [0.0000, 0.0000, 8.3342]],
  "species": ["N", "N", "O", "O", "Pm", "Pm", "Sm", "Sm"],
  "frac_coords": [[0.7500, 0.7500, 0.3669], [0.2500, 0.2500, 0.6331], [0.7500, 0.2500, 0.0000], [0.2500, 0.7500, 0.0000], [0.2500, 0.2500, 0.1151], [0.7500, 0.7500, 0.8849], [0.7500, 0.2500, 0.5000], [0.2500, 0.7500, 0.5000]]
}

***

Entry 9:
{
  "formula": "LaGdMg2Au4",
  "functional": "GGA-PBE",
  "state": "relaxed",
  "total_magnetization_mub_per_fu": 0.017,
  "final_energy_ev_per_atom": -3.97,
  "crystal_system": "tetragonal",
  "rho_g_cm3": 10.65,
  "lattice": [[5.0010, 0.0000, 0.0000], [0.0000, 5.0010, 0.0000], [0.0000, 0.0000, 7.0600]],
  "species": ["Au", "Au", "Au", "Au", "Gd", "La", "Mg", "Mg"],
  "frac_coords": [[0.5000, 0.0000, 0.2376], [0.0000, 0.5000, 0.2376], [0.5000, 0.0000, 0.7624], [0.0000, 0.5000, 0.7624], [0.0000, 0.0000, 0.0000], [0.5000, 0.5000, 0.5000], [0.5000, 0.5000, 0.0000], [0.0000, 0.0000, 0.5000]]
}

***

Entry 10:
{
  "formula": "TmSiNO",
  "functional": "GGA-PBE",
  "state": "relaxed",
  "total_magnetization_mub_per_fu": 0.001,
  "polymorph_energy_mev_per_atom": 0.0,
  "crystal_system": "orthorhombic",
  "rho_g_cm3": 6.93,
  "lattice": [[-1.8825, -4.5862, 4.1444], [6.6537, -1.7367, 1.1005], [0.2310, 3.1839, 3.6282]],
  "species": ["N", "N", "N", "N", "O", "O", "O", "O", "Si", "Si", "Si", "Si", "Tm", "Tm", "Tm", "Tm"],
  "frac_coords": [[0.9364, 0.1463, 0.0477], [0.4364, 0.8537, 0.0477], [0.5636, 0.1463, 0.5477], [0.0636, 0.8537, 0.5477], [0.5969, 0.4641, 0.0630], [0.0969, 0.5359, 0.0630], [0.9031, 0.4641, 0.5630], [0.4031, 0.5359, 0.5630], [0.1436, 0.3105, 0.0461], [0.6436, 0.6895, 0.0461], [0.3564, 0.3105, 0.5461], [0.8564, 0.6895, 0.5461], [0.5844, 0.1687, 0.0456], [0.0844, 0.8313, 0.0456], [0.9156, 0.1687, 0.5456], [0.4156, 0.8313, 0.5456]]
}

***

Entry 11:
{
  "formula": "YHfNb2",
  "functional": "GGA-PBE",
  "state": "relaxed",
  "total_magnetization_mub_per_fu": 0.026,
  "formation_enthalpy_0k_ev_per_atom": 0.316,
  "crystal_system": "cubic",
  "rho_g_cm3": 8.79,
  "lattice": [[0.0000, 3.4979, 3.4979], [3.4979, 0.0000, 3.4979], [3.4979, 3.4979, 0.0000]],
  "species": ["Hf", "Nb", "Nb", "Y"],
  "frac_coords": [[0.2500, 0.2500, 0.2500], [0.5000, 0.5000, 0.5000], [0.7500, 0.7500, 0.7500], [0.0000, 0.0000, 0.0000]]
}

***

Entry 12:
{
  "formula": "DyCl",
  "functional": "GGA-PBE",
  "state": "relaxed",
  "total_magnetization_mub_per_fu": 0.001,
  "final_energy_ev_per_atom": -4.22,
  "crystal_system": "cubic",
  "rho_g_cm3": 7.68,
  "lattice": [[0.0000, 2.7758, 2.7758], [2.7758, 0.0000, 2.7758], [2.7758, 2.7758, 0.0000]],
  "species": ["Cl", "Dy"],
  "frac_coords": [[0.0000, 0.0000, 0.0000], [0.5000, 0.5000, 0.5000]]
}

***

Entry 13:
{
  "formula": "TaHgGe",
  "functional": "GGA-PBE",
  "state": "relaxed",
  "total_magnetization_mub_per_fu": 0.692,
  "polymorph_energy_mev_per_atom": 79.0,
  "crystal_system": "cubic",
  "rho_g_cm3": 12.08,
  "lattice": [[0.0000, 3.1491, 3.1491], [3.1491, 0.0000, 3.1491], [3.1491, 3.1491, 0.0000]],
  "species": ["Ge", "Hg", "Ta"],
  "frac_coords": [[0.0000, 0.0000, 0.0000], [0.2500, 0.2500, 0.2500], [0.7500, 0.7500, 0.7500]]
}

***

Entry 14:
{
  "formula": "HoTeAs",
  "functional": "GGA-PBE",
  "state": "relaxed",
  "total_magnetization_mub_per_fu": 0.006,
  "final_energy_ev_per_atom": -4.54,
  "crystal_system": "cubic",
  "rho_g_cm3": 7.29,
  "lattice": [[0.0000, 3.4715, 3.4715], [3.4715, 0.0000, 3.4715], [3.4715, 3.4715, 0.0000]],
  "species": ["As", "Ho", "Te"],
  "frac_coords": [[0.0000, 0.0000, 0.0000], [0.2500, 0.2500, 0.2500], [0.7500, 0.7500, 0.7500]]
}

***

Entry 15:
{
  "formula": "Pm2Au2O5",
  "functional": "GGA-PBE",
  "state": "relaxed",
  "total_magnetization_mub_per_fu": 1.468,
  "polymorph_energy_mev_per_atom": 26.0,
  "crystal_system": "tetragonal",
  "rho_g_cm3": 8.67,
  "lattice": [[-3.6661, -1.8309, 8.2777], [1.6885, -3.6044, -0.0494], [3.2400, 1.4936, 1.7653]],
  "species": ["Au", "Au", "O", "O", "O", "O", "O", "Pm", "Pm"],
  "frac_coords": [[0.0000, 0.0000, 0.0000], [0.5000, 0.0000, 0.0000], [0.1398, 0.5000, 0.0000], [0.8602, 0.5000, 0.0000], [0.1398, 0.0000, 0.5000], [0.8602, 0.0000, 0.5000], [0.5000, 0.5000, 0.5000], [0.2538, 0.5000, 0.5000], [0.7462, 0.5000, 0.5000]]
}

***

Entry 16:
{
  "formula": "TbLuAsO",
  "functional": "GGA-PBE",
  "state": "relaxed",
  "total_magnetization_mub_per_fu": 0.007,
  "polymorph_energy_mev_per_atom": 0.0,
  "crystal_system": "tetragonal",
  "rho_g_cm3": 8.78,
  "lattice": [[4.3057, 0.0000, 0.0000], [0.0000, 4.3057, 0.0000], [0.0000, 0.0000, 8.6725]],
  "species": ["As", "As", "Lu", "Lu", "O", "O", "Tb", "Tb"],
  "frac_coords": [[0.7500, 0.7500, 0.2998], [0.2500, 0.2500, 0.7002], [0.7500, 0.2500, 0.5000], [0.2500, 0.7500, 0.5000], [0.7500, 0.2500, 0.0000], [0.2500, 0.7500, 0.0000], [0.2500, 0.2500, 0.1055], [0.7500, 0.7500, 0.8945]]
}

***

Entry 17:
{
  "formula": "NpTaNi",
  "functional": "GGA-PBE",
  "state": "relaxed",
  "total_magnetization_mub_per_fu": 0.008,
  "polymorph_energy_mev_per_atom": 0.0,
  "formation_enthalpy_0k_ev_per_atom": 0.722,
  "crystal_system": "cubic",
  "rho_g_cm3": 13.95,
  "lattice": [[-0.6918, -1.2191, 4.0788], [-3.9435, 0.3400, 1.7130], [-2.3048, -3.5501, 0.8283]],
  "species": ["Ni", "Np", "Ta"],
  "frac_coords": [[0.0000, 0.0000, 0.0000], [0.7500, 0.7500, 0.7500], [0.2500, 0.2500, 0.2500]]
}

***

Entry 18:
{
  "formula": "ZrTlFePd",
  "functional": "GGA-PBE",
  "state": "relaxed",
  "total_magnetization_mub_per_fu": 2.681,
  "polymorph_energy_mev_per_atom": 169.3,
  "crystal_system": "cubic",
  "rho_g_cm3": 10.66,
  "lattice": [[0.0000, 3.2920, 3.2920], [3.2920, 0.0000, 3.2920], [3.2920, 3.2920, 0.0000]],
  "species": ["Fe", "Pd", "Tl", "Zr"],
  "frac_coords": [[0.7500, 0.7500, 0.7500], [0.5000, 0.5000, 0.5000], [0.0000, 0.0000, 0.0000], [0.2500, 0.2500, 0.2500]]
}

***

Entry 19:
{
  "formula": "Dy2ErFe7Co2",
  "functional": "GGA-PBE",
  "state": "relaxed",
  "total_magnetization_mub_per_fu": 16.308,
  "formation_enthalpy_0k_ev_per_atom": -0.099,
  "crystal_system": "trigonal",
  "rho_g_cm3": 9.37,
  "lattice": [[2.5117, 1.4501, 8.1184], [-2.5117, 1.4501, 8.1184], [0.0000, -2.9002, 8.1184]],
  "species": ["Co", "Co", "Dy", "Dy", "Er", "Fe", "Fe", "Fe", "Fe", "Fe", "Fe", "Fe"],
  "frac_coords": [[0.3324, 0.3324, 0.3324], [0.6676, 0.6676, 0.6676], [0.1420, 0.1420, 0.1420], [0.8580, 0.8580, 0.8580], [0.0000, 0.0000, 0.0000], [0.5808, 0.5808, 0.0823], [0.9177, 0.4192, 0.4192], [0.4192, 0.9177, 0.4192], [0.5000, 0.5000, 0.5000], [0.5808, 0.0823, 0.5808], [0.0823, 0.5808, 0.5808], [0.4192, 0.4192, 0.9177]]
}

***

Entry 20:
{
  "formula": "BiPt21",
  "functional": "GGA-PBE",
  "state": "relaxed",
  "total_magnetization_mub_per_fu": 0.036,
  "final_energy_ev_per_atom": -5.88,
  "crystal_system": "monoclinic",
  "rho_g_cm3": 12.23,
  "lattice": [[4.3818, -1.9774, 0.0000], [4.3818, 1.9774, 0.0000], [-0.0224, 0.0000, 33.7283]],
  "species": ["Bi", "Pt", "Pt", "Pt", "Pt", "Pt", "Pt", "Pt", "Pt", "Pt", "Pt", "Pt", "Pt", "Pt", "Pt", "Pt", "Pt", "Pt", "Pt", "Pt", "Pt", "Pt"],
  "frac_coords": [[0.3036, 0.3036, 0.2149], [0.9992, 0.9992, 0.2468], [0.6963, 0.6963, 0.2719], [0.3993, 0.3993, 0.3011], [0.0998, 0.0998, 0.3276], [0.7984, 0.7984, 0.3543], [0.4989, 0.4989, 0.3812], [0.2004, 0.2004, 0.4076], [0.9017, 0.9017, 0.4343], [0.6018, 0.6018, 0.4608], [0.3012, 0.3012, 0.4872], [0.0015, 0.0015, 0.5138], [0.7007, 0.7007, 0.5407], [0.3994, 0.3994, 0.5666], [0.0991, 0.0991, 0.5935], [0.7997, 0.7997, 0.6203], [0.4995, 0.4995, 0.6466], [0.1960, 0.1960, 0.6738], [0.8975, 0.8975, 0.6984], [0.6074, 0.6074, 0.7292], [0.3021, 0.3021, 0.7553], [0.9966, 0.9966, 0.7741]]
}